A relaxed CaCoSnO4 crystal. Source: Alexandria, functional PBE with a Hubbard U.

Lattice parameters (Å, degrees): 6.3875 6.4855 6.4119 119.62 90.00 119.50
Each line ends with the local moment (μB).
Element x y z (fractional)
Ca 0.8637 0.7273 0.1137  0.01
Ca 0.1363 0.2727 0.8863  0.01
Co 0.5000 0.5000 0.5000  2.71
Co 0.0000 0.5000 0.5000  2.71
Sn 0.5000 0.0000 0.5000  0.00
Sn 0.5000 0.0000 0.0000  0.00
O 0.7226 0.4453 0.6928  0.07
O 0.2876 0.0144 0.2572  0.03
O 0.7268 0.0144 0.2572  0.03
O 0.7226 0.4453 0.2524  0.07
O 0.2774 0.5547 0.7476  0.07
O 0.7124 0.9856 0.7428  0.03
O 0.2732 0.9856 0.7428  0.03
O 0.2774 0.5547 0.3072  0.07

Properties
Total energy = -6.295 eV per atom
Mass density = 4.92 g/cm³
Spin magnetization = 2.98 μB/f.u.